A plane-wave DFT calculation with PBE was carried out for KCaBe4 after structural relaxation.

Summary:
**Total magnetic moment**: 0.000 Bohr magnetons per cell
**Volume**: 109 Å³/cell
**Symmetry**: F-43m
**E_form**: 691 meV/atom

Unit cell a=5.3693 b=5.3693 c=5.3693 alpha=60.00 beta=60.00 gamma=60.00
Fractional coordinates of all 6 atoms:
K1 0.0000 0.0000 0.0000
Ca1 0.7500 0.7500 0.7500
Be1 0.8099 0.3967 0.3967
Be2 0.3967 0.3967 0.8099
Be3 0.3967 0.8099 0.3967
Be4 0.3967 0.3967 0.3967

***

A plane-wave DFT calculation with PBE was carried out for DyMoN after structural relaxation.

Summary:
**Total magnetic moment**: 0.028 Bohr magnetons per cell
**Volume**: 94 Å³/cell
**Symmetry**: Amm2
**Formation energy without anion corrections**: -158 meV/atom

Unit cell a=3.1369 b=3.1361 c=11.0842 alpha=90.00 beta=90.00 gamma=120.01
Fractional coordinates of all 6 atoms:
N1 0.6105 0.2211 0.0000
N2 0.2784 0.5568 0.5000
Dy1 0.6117 0.2233 0.3629
Dy2 0.6117 0.2233 0.6371
Mo1 0.2772 0.5543 0.8838
Mo2 0.2772 0.5543 0.1162

***

A plane-wave DFT calculation with PBE was carried out for TlInPd after structural relaxation.

Summary:
**Total magnetic moment**: 0.000 Bohr magnetons per cell
**Volume**: 68 Å³/cell
**Symmetry**: I4mm
**E_form**: -164 meV/atom

Unit cell a=3.3248 b=3.3248 c=6.5434 alpha=104.72 beta=104.72 gamma=90.00
Fractional coordinates of all 3 atoms:
Tl1 0.0168 0.0168 0.0337
Pd1 0.6787 0.6787 0.3574
In1 0.3044 0.3044 0.6089

***

A plane-wave DFT calculation with PBE was carried out for Na2NO after structural relaxation.

Summary:
**Total magnetic moment**: 3.000 Bohr magnetons per cell
**Volume**: 51 Å³/cell
**Symmetry**: Fm-3m
**Formation energy without anion corrections**: 224 meV/atom

Unit cell a=4.1693 b=4.1693 c=4.1693 alpha=60.00 beta=60.00 gamma=60.00
Last column: magnetic moment on the atom in μB.
Fractional coordinates of all 4 atoms:
Na1 0.2500 0.2500 0.2500  0.00
Na2 0.7500 0.7500 0.7500  0.00
O1 0.5000 0.5000 0.5000  0.69
N1 0.0000 0.0000 0.0000  1.48

***

A plane-wave DFT calculation with PBE was carried out for Ac2Pm5Pb4 after structural relaxation.

Summary:
**Total magnetic moment**: 0.004 Bohr magnetons per cell
**Volume**: 400 Å³/cell
**Symmetry**: C2/m
**E_form**: -133 meV/atom

Unit cell a=3.7103 b=7.6792 c=14.1623 alpha=91.44 beta=97.53 gamma=90.00
Fractional coordinates of all 11 atoms:
Ac1 0.9081 0.7169 0.8162
Ac2 0.0919 0.2831 0.1838
Pm1 0.1423 0.8191 0.2846
Pm2 0.8577 0.1809 0.7154
Pm3 0.2341 0.2051 0.4683
Pm4 0.5000 0.0000 0.0000
Pm5 0.7659 0.7949 0.5317
Pb1 0.6802 0.5016 0.3603
Pb2 0.0334 0.6721 0.0668
Pb3 0.3198 0.4984 0.6397
Pb4 0.9666 0.3279 0.9332

***

A plane-wave DFT calculation with PBE was carried out for Lu12H5Pt3 after structural relaxation.

Summary:
**Total magnetic moment**: 0.009 Bohr magnetons per cell
**Volume**: 1619 Å³/cell
**Symmetry**: Ia-3d
**VASP energy**: -403.184 eV per cell

Unit cell a=12.8129 b=12.8129 c=12.8129 alpha=109.47 beta=109.47 gamma=109.47
Fractional coordinates of all 80 atoms:
H1 0.1250 0.3750 0.2500
H2 0.0000 0.5000 0.0000
H3 0.0000 0.0000 0.0000
H4 0.3750 0.2500 0.1250
H5 0.5000 0.0000 0.5000
H6 0.5000 0.5000 0.0000
H7 0.1250 0.7500 0.3750
H8 0.7500 0.1250 0.8750
H9 0.7500 0.6250 0.3750
H10 0.3750 0.1250 0.7500
H11 0.6250 0.8750 0.2500
H12 0.5000 0.5000 0.5000
H13 0.5000 0.0000 0.0000
H14 0.0000 0.0000 0.5000
H15 0.2500 0.3750 0.6250
H16 0.2500 0.8750 0.1250
H17 0.0000 0.5000 0.5000
H18 0.8750 0.2500 0.6250
H19 0.6250 0.7500 0.8750
H20 0.8750 0.6250 0.7500
Lu1 0.7145 0.1189 0.0231
Lu2 0.3086 0.5231 0.4041
Lu3 0.9769 0.3811 0.2855
Lu4 0.5231 0.2145 0.1189
Lu5 0.5956 0.7145 0.6914
Lu6 0.9769 0.5959 0.1914
Lu7 0.3086 0.7855 0.4044
Lu8 0.0959 0.9044 0.1189
Lu9 0.5959 0.9769 0.6914
Lu10 0.7145 0.5956 0.1914
Lu11 0.7855 0.4769 0.3811
Lu12 0.8086 0.9041 0.0231
Lu13 0.1189 0.7145 0.5231
Lu14 0.3811 0.4041 0.0956
Lu15 0.0956 0.9041 0.3811
Lu16 0.4044 0.1189 0.5959
Lu17 0.0956 0.1914 0.2145
Lu18 0.4769 0.6914 0.0959
Lu19 0.8086 0.9044 0.2855
Lu20 0.1189 0.4044 0.0959
Lu21 0.3811 0.9769 0.7855
Lu22 0.5959 0.6189 0.4044
Lu23 0.9041 0.8086 0.5231
Lu24 0.7855 0.3086 0.9044
Lu25 0.4041 0.3811 0.5956
Lu26 0.0959 0.1914 0.4769
Lu27 0.2145 0.6914 0.0956
Lu28 0.1914 0.0956 0.7145
Lu29 0.6189 0.0231 0.2145
Lu30 0.8811 0.5956 0.9041
Lu31 0.5231 0.3086 0.9041
Lu32 0.5956 0.8811 0.4041
Lu33 0.9044 0.8086 0.7855
Lu34 0.9044 0.0959 0.6189
Lu35 0.8811 0.2855 0.4769
Lu36 0.1914 0.0959 0.9769
Lu37 0.6189 0.5959 0.9044
Lu38 0.4041 0.0231 0.3086
Lu39 0.2855 0.4044 0.8086
Lu40 0.2145 0.5231 0.6189
Lu41 0.9041 0.0956 0.8811
Lu42 0.6914 0.2145 0.5956
Lu43 0.4769 0.7855 0.8811
Lu44 0.0231 0.4041 0.8086
Lu45 0.4044 0.2855 0.3086
Lu46 0.0231 0.6189 0.7145
Lu47 0.6914 0.4769 0.5959
Lu48 0.2855 0.8811 0.9769
Pt1 0.7500 0.3750 0.1250
Pt2 0.8750 0.7500 0.1250
Pt3 0.3750 0.7500 0.6250
Pt4 0.2500 0.1250 0.3750
Pt5 0.8750 0.1250 0.2500
Pt6 0.3750 0.6250 0.2500
Pt7 0.6250 0.3750 0.7500
Pt8 0.1250 0.8750 0.7500
Pt9 0.7500 0.8750 0.6250
Pt10 0.6250 0.2500 0.3750
Pt11 0.1250 0.2500 0.8750
Pt12 0.2500 0.6250 0.8750

***

A plane-wave DFT calculation with PBE was carried out for Ac2TlCd after structural relaxation.

Summary:
**Total magnetic moment**: 0.021 Bohr magnetons per cell
**Volume**: 139 Å³/cell
**Symmetry**: Fm-3m
**E_form**: -324 meV/atom

Unit cell a=5.8093 b=5.8093 c=5.8093 alpha=60.00 beta=60.00 gamma=60.00
Fractional coordinates of all 4 atoms:
Ac1 0.2500 0.2500 0.2500
Ac2 0.7500 0.7500 0.7500
Tl1 0.0000 0.0000 0.0000
Cd1 0.5000 0.5000 0.5000

***

A plane-wave DFT calculation with PBE was carried out for BePd3Pt4 after structural relaxation.

Summary:
**Total magnetic moment**: 0.002 Bohr magnetons per cell
**Volume**: 116 Å³/cell
**Symmetry**: P4/mmm
**E_form**: -250 meV/atom

Unit cell a=2.7716 b=2.7716 c=15.1167 alpha=90.00 beta=90.00 gamma=90.00
Fractional coordinates of all 8 atoms:
Be1 0.5000 0.5000 0.0000
Pt1 0.0000 0.0000 0.9046
Pt2 0.0000 0.0000 0.0954
Pt3 0.0000 0.0000 0.3678
Pt4 0.0000 0.0000 0.6322
Pd1 0.5000 0.5000 0.2339
Pd2 0.5000 0.5000 0.5000
Pd3 0.5000 0.5000 0.7661